(1)
A geometry-optimized KSrNO2 structure, computed with PBE-GGA.

Cell lengths 4.677, 4.677, 4.681 Å; angles 90.00, 90.00, 90.00 degrees
Space group P4/mmm (No. 123)
One atom of each set of equivalent atoms:
K  0.000  0.000  0.000 (multiplicity 1)
Sr  0.500  0.500  0.500 (multiplicity 1)
N  0.000  0.000  0.500 (multiplicity 1)
O  0.000  0.500  0.000 (multiplicity 2)

* density of states at the Fermi level: 3.92 states/eV/cell
* E_form (uncorrected): 298 meV/atom

=====

(2)
A geometry-optimized BaDyInBr6 structure, computed with PBE-GGA.

Cell lengths 7.9595, 7.9595, 13.6542 Å; angles 90.00, 90.00, 120.00 degrees
Space group P-31c (No. 163)
One atom of each set of equivalent atoms:
Ba  0.3333  0.6667  0.2500 (multiplicity 2)
Dy  0.3333  0.6667  0.7500 (multiplicity 2)
In  0.0000  0.0000  0.0000 (multiplicity 2)
Br  0.0411  0.3799  0.6310 (multiplicity 12)

* density of states at the Fermi level: 0.00 states/eV/cell
* E_form (uncorrected): -1704 meV/atom

=====

(3)
A geometry-optimized Tc2TeRh structure, computed with PBE-GGA.

Cell lengths 9.183, 3.018, 4.731 Å; angles 90.00, 97.78, 90.00 degrees
Space group Cm (No. 8)
One atom of each set of equivalent atoms:
Tc  0.000  0.000  0.000 (multiplicity 2)
Tc  0.233  0.500  0.200 (multiplicity 2)
Te  0.236  0.000  0.706 (multiplicity 2)
Rh  0.475  0.000  0.456 (multiplicity 2)

* density of states at the Fermi level: 8.50 states/eV/cell
* E_form (uncorrected): 250 meV/atom

=====

(4)
A geometry-optimized TcMoP2 structure, computed with PBE-GGA.

Cell lengths 3.852, 3.852, 7.551 Å; angles 90.00, 90.00, 90.00 degrees
Space group I-4m2 (No. 119)
One atom of each set of equivalent atoms:
Tc  0.000  0.000  0.000 (multiplicity 2)
Mo  0.000  0.500  0.750 (multiplicity 2)
P  0.000  0.000  0.500 (multiplicity 2)
P  0.000  0.500  0.250 (multiplicity 2)

* density of states at the Fermi level: 7.20 states/eV/cell
* formation energy from the elements: 107 meV per atom
* energy above the most stable polymorph in this dataset: 0.6581 eV per atom

=====

(5)
A geometry-optimized Sr5Ca12Bi3 structure, computed with PBE-GGA.

Cell lengths 20.999, 20.999, 20.999 Å; angles 90.00, 90.00, 90.00 degrees
Space group Ia-3d (No. 230)
One atom of each set of equivalent atoms:
Sr  0.000  0.000  0.000 (multiplicity 16)
Sr  0.000  0.250  0.375 (multiplicity 24)
Ca  0.008  0.103  0.641 (multiplicity 96)
Bi  0.000  0.250  0.125 (multiplicity 24)

* density of states at the Fermi level: 208.18 states/eV/cell
* formation energy from the elements: 284 meV per atom

=====

(6)
A geometry-optimized NbCrW structure, computed with PBE-GGA.

Cell lengths 3.119, 3.119, 9.471 Å; angles 90.00, 90.00, 90.00 degrees
Space group I4mm (No. 107)
One atom of each set of equivalent atoms:
Nb  0.000  0.000  0.000 (multiplicity 2)
Cr  0.000  0.000  0.334 (multiplicity 2)
W  0.000  0.000  0.681 (multiplicity 2)

* density of states at the Fermi level: 2.57 states/eV/cell
* formation energy from the elements: 22 meV per atom
* energy above the most stable polymorph in this dataset: 0.0000 eV per atom

=====

(7)
A geometry-optimized Tl2HRhF6 structure, computed with PBE-GGA.

Cell lengths 6.1227, 6.1227, 28.2364 Å; angles 90.00, 90.00, 120.00 degrees
Space group R-3m (No. 166, hexagonal axes)
One atom of each set of equivalent atoms:
Tl  0.0000  0.0000  0.1307 (multiplicity 6)
Tl  0.0000  0.0000  0.3618 (multiplicity 6)
H  0.0000  0.0000  0.4266 (multiplicity 6)
Rh  0.0000  0.0000  0.0000 (multiplicity 3)
Rh  0.0000  0.0000  0.5000 (multiplicity 3)
F  0.0012  0.5006  0.3671 (multiplicity 18)
F  0.0195  0.5097  0.1270 (multiplicity 18)

* energy: -4.09 eV per atom

=====

(8)
A geometry-optimized K2Re2O7 structure, computed with PBE-GGA.

Cell lengths 7.794, 10.623, 5.782 Å; angles 90.00, 101.98, 90.00 degrees
Space group C2/m (No. 12)
One atom of each set of equivalent atoms:
K  0.000  0.189  0.000 (multiplicity 4)
Re  0.216  0.500  0.408 (multiplicity 4)
O  0.000  0.500  0.500 (multiplicity 2)
O  0.131  0.000  0.316 (multiplicity 4)
O  0.232  0.363  0.238 (multiplicity 8)

* density of states at the Fermi level: 1.40 states/eV/cell
* E_form (uncorrected): -1656 meV/atom

=====

For the records above, the corresponding V values read 102.4, 374.6, 64.9, 56.0, 1157.4, 46.1, 152.8, 234.2 Å³/f.u..